# 1
The following is a GGA-PBE calculation of crystalline CaTa2Mn at its relaxed geometry, from the Alexandria database.

Output
size of the total moment: 1.408 μB per cell
calculated total energy: -0.306 Ha/atom
ΔH_f (0 K): 0.396 eV/atom
volume: 81.50 Å³ per cell
ΔE to the lowest computed polymorph: 0.000 eV/atom

a b c (Å): 3.1864 3.1864 8.0270
angles (deg): 90.00 90.00 90.00
Element x y z (fractional)
Ca 0.0000 0.0000 0.0000
Ta 0.0000 0.0000 0.4435
Ta 0.5000 0.5000 0.6664
Mn 0.5000 0.5000 0.2862



# 2
The following is a GGA-PBE calculation of crystalline Er8Al2Ni at its relaxed geometry, from the Alexandria database.

Output
size of the total moment: 0.000 μB per cell
calculated total energy: -0.174 Ha/atom
ΔH_f (0 K): -0.198 eV/atom
volume: 285.38 Å³ per cell

a b c (Å): 9.3807 9.3807 6.5167
angles (deg): 102.19 102.19 30.67
Element x y z (fractional)
Er 0.0204 0.0204 0.2777
Er 0.2105 0.2105 0.8046
Er 0.3530 0.3530 0.5248
Er 0.4078 0.4078 0.0450
Er 0.5922 0.5922 0.9550
Er 0.6470 0.6470 0.4752
Er 0.7895 0.7895 0.1954
Er 0.9796 0.9796 0.7223
Al 0.1887 0.1887 0.2547
Al 0.8113 0.8113 0.7453
Ni 0.5000 0.5000 0.5000



# 3
The following is a GGA-PBE calculation of crystalline Na2InPb2 at its relaxed geometry, from the Alexandria database.

Output
size of the total moment: 0.000 μB per cell
calculated total energy: -0.098 Ha/atom
ΔH_f (0 K): -0.108 eV/atom
volume: 286.99 Å³ per cell
ΔE to the lowest computed polymorph: 0.000 eV/atom

a b c (Å): 10.9341 4.7759 7.6725
angles (deg): 90.00 134.25 90.00
Element x y z (fractional)
Na 0.0997 0.0000 0.3049
Na 0.4003 0.5000 0.6951
Na 0.5997 0.5000 0.3049
Na 0.9003 0.0000 0.6951
In 0.0000 0.5000 0.5000
In 0.5000 0.0000 0.5000
Pb 0.2027 0.5000 0.0972
Pb 0.2973 0.0000 0.9028
Pb 0.7027 0.0000 0.0972
Pb 0.7973 0.5000 0.9028



# 4
The following is a GGA-PBE calculation of crystalline NpTc2P2Pt at its relaxed geometry, from the Alexandria database.

Output
size of the total moment: 7.252 μB per cell
calculated total energy: -0.328 Ha/atom
ΔH_f (0 K): -0.508 eV/atom
volume: 189.82 Å³ per cell

a b c (Å): 4.0033 7.9917 5.9332
angles (deg): 90.00 90.00 90.00
Element x y z (fractional)
Np 0.0000 0.0605 0.0000
Np 0.0000 0.9395 0.5000
Tc 0.0000 0.3322 0.4009
Tc 0.0000 0.6678 0.9009
Tc 0.5000 0.4348 0.0544
Tc 0.5000 0.5652 0.5544
P 0.0000 0.3916 0.7942
P 0.0000 0.6084 0.2942
P 0.5000 0.1908 0.2821
P 0.5000 0.8092 0.7821
Pt 0.5000 0.2104 0.6827
Pt 0.5000 0.7896 0.1827